1.
KY2Cu, optimized geometry, DFT PBE; total energy = -16.0 eV for the cell shown; symmetry = Pmmm (47); DFT formation energy = 0.539 eV per atom; calculated density = 3.9 g/cm³; relative energy among the computed polymorphs = 1.68 eV/f.u.
1.0
3.797 0.000 0.000
0.000 5.596 0.000
0.000 0.000 5.603
Cu K Y
1 1 2
Cartesian
1.899 0.000 2.802 Cu
0.000 2.798 2.802 K
0.000 0.000 0.000 Y
1.899 2.798 0.000 Y

2.
YVB4, optimized geometry, DFT PBE; total energy = -186.1 eV for the cell shown; symmetry = Pbam (55); DFT formation energy = -0.704 eV per atom; calculated density = 5.0 g/cm³
1.0
-0.115 -2.923 -1.831
0.274 -3.195 5.081
-11.613 0.047 0.655
Y V B
4 4 16
Cartesian
-3.875 -1.976 3.398 Y
-7.464 -1.171 2.338 Y
-1.727 -0.388 0.728 Y
-9.612 -2.759 5.008 Y
-0.789 -1.999 3.240 V
-10.550 -1.149 2.496 V
-4.811 -0.386 0.919 V
-6.528 -2.762 4.818 V
-1.998 -3.963 3.199 B
-9.456 -2.107 0.706 B
-3.630 -2.360 0.743 B
-7.824 -3.710 3.162 B
-0.199 -4.221 3.498 B
-11.255 -1.849 0.408 B
-5.386 -2.603 1.242 B
-6.068 -3.467 2.664 B
-5.071 -4.269 3.880 B
-6.383 -1.801 0.025 B
-0.502 -2.691 1.074 B
-10.952 -3.380 2.831 B
-3.365 -4.568 4.251 B
-8.089 -1.502 -0.345 B
-2.158 -2.976 1.634 B
-9.296 -3.094 2.271 B

3.
HfMgHg2, optimized geometry, DFT PBE; total energy = -22.8 eV for the cell shown; symmetry = I-42d (122); DFT formation energy = 0.187 eV per atom; calculated density = 10.8 g/cm³
1.0
-6.536 0.138 3.903
0.416 -7.541 0.964
-1.419 -3.262 5.165
Mg Hf Hg
2 2 4
Cartesian
-3.060 -3.701 2.433 Mg
-2.032 -7.252 4.281 Mg
0.000 0.000 0.000 Hf
-5.508 -3.412 5.751 Hf
-4.338 -1.673 3.821 Hg
-0.962 -5.510 2.411 Hg
-3.356 -5.280 5.706 Hg
-6.423 -8.866 8.125 Hg

4.
ReMoCl, optimized geometry, DFT PBE; total energy = -24.1 eV for the cell shown; ΔE_f (raw) = 341.9 meV per atom; symmetry = P3m1 (156); calculated density = 11.0 g/cm³; relative energy among the computed polymorphs = 0.00 eV/f.u.
1.0
2.926 0.000 0.000
-1.463 2.534 0.000
0.000 0.000 6.484
Cl Mo Re
1 1 1
Cartesian
0.000 0.000 0.175 Cl
1.463 0.845 2.139 Mo
0.000 1.689 4.170 Re

Respective D(E_F) values: 3.409; 5.654; 3.913; 2.525 states/eV per cell.